Computed, not measured: LiCoNO after structural relaxation at the GGA+U level of DFT.

Output
Offset from the most stable computed form   0.0 meV/atom

CIF file:
```
data_LiCoNO
_cell_length_a 5.218
_cell_length_b 5.867
_cell_length_c 5.748
_cell_angle_alpha 90.00
_cell_angle_beta 114.70
_cell_angle_gamma 90.00
_symmetry_space_group_name_H-M 'C 1 m 1'
_symmetry_Int_Tables_number 8
loop_
_symmetry_equiv_pos_as_xyz
'x,y,z'
'x,-y,z'
'x+1/2,y+1/2,z'
'x+1/2,-y+1/2,z'
loop_
_atom_site_label
_atom_site_type_symbol
_atom_site_fract_x
_atom_site_fract_y
_atom_site_fract_z
Li1 Li 0.000 0.202 0.000
Co1 Co 0.336 0.500 0.335
Co2 Co 0.407 0.000 0.513
N1 N 0.135 0.500 0.909
N2 N 0.363 0.000 0.838
O1 O 0.096 0.252 0.360
```